No. 1
This record from Alexandria describes AgIrS2 after structural relaxation. The functional is GGA-PBE.

Calculated values
SG: No. 140
DOS at the Fermi energy: 1.57 states/eV/f.u.

a = 7.635 Å, b = 7.635 Å, c = 6.038 Å
α = 50.78°, β = 50.78°, γ = 90.00°
Fractional coordinates of all 8 atoms:
S (0.829, 0.329, 0.000)
Ag (0.250, 0.250, 0.500)
Ir (0.250, 0.750, 0.500)
S (0.171, 0.671, 0.000)
S (0.329, 0.171, 0.000)
S (0.671, 0.829, 0.000)
Ir (0.750, 0.250, 0.500)
Ag (0.750, 0.750, 0.500)

=====

No. 2
This record from Alexandria describes AgIrS2 after structural relaxation. The functional is GGA-PBE.

Calculated values
SG: No. 122
DOS at the Fermi energy: 1.73 states/eV/f.u.

a = 5.927 Å, b = 5.927 Å, c = 6.336 Å
α = 62.11°, β = 62.11°, γ = 90.00°
Fractional coordinates of all 8 atoms:
Ir (0.750, 0.250, 0.500)
S (0.375, 0.333, 0.750)
S (0.083, 0.625, 0.250)
Ag (0.250, 0.750, 0.500)
S (0.667, 0.125, 0.250)
Ag (0.500, 0.500, 0.000)
S (0.875, 0.917, 0.750)
Ir (0.000, 0.000, 0.000)

=====

No. 3
This record from Alexandria describes Ag3IrS after structural relaxation. The functional is GGA-PBE.

Calculated values
SG: No. 221
DOS at the Fermi energy: 4.30 states/eV/f.u.

a = 5.057 Å, b = 5.057 Å, c = 5.057 Å
α = 90.00°, β = 90.00°, γ = 90.00°
Site moments in Bohr magnetons follow the coordinates.
Fractional coordinates of all 5 atoms:
Ag (0.000, 0.500, 0.000)  0.09
Ag (0.500, 0.000, 0.000)  0.01
S (0.500, 0.500, 0.500)  0.32
Ag (0.000, 0.000, 0.500)  0.19
Ir (0.000, 0.000, 0.000)  1.23

=====

No. 4
This record from Alexandria describes AgIrS2 after structural relaxation. The functional is GGA-PBE.

Calculated values
SG: No. 194

a = 3.605 Å, b = 3.605 Å, c = 14.266 Å
α = 90.00°, β = 90.00°, γ = 120.00°
Fractional coordinates of all 8 atoms:
Ag (0.667, 0.333, 0.750)
Ag (0.333, 0.667, 0.250)
S (0.667, 0.333, 0.581)
S (0.333, 0.667, 0.081)
S (0.333, 0.667, 0.419)
Ir (0.000, 0.000, 0.500)
S (0.667, 0.333, 0.919)
Ir (0.000, 0.000, 0.000)

=====

No. 5
This record from Alexandria describes AgIrS2 after structural relaxation. The functional is GGA-PBE.

Calculated values
SG: No. 63
DOS at the Fermi energy: 1.78 states/eV/f.u.

a = 11.053 Å, b = 11.053 Å, c = 4.435 Å
α = 90.00°, β = 90.00°, γ = 164.48°
Fractional coordinates of all 8 atoms:
Ag (0.309, 0.691, 0.250)
Ag (0.691, 0.309, 0.750)
Ir (0.065, 0.935, 0.250)
S (0.041, 0.959, 0.750)
S (0.172, 0.828, 0.250)
Ir (0.935, 0.065, 0.750)
S (0.959, 0.041, 0.250)
S (0.828, 0.172, 0.750)

=====

No. 6
This record from Alexandria describes AgIr3S after structural relaxation. The functional is GGA-PBE.

Calculated values
Energy above the most stable polymorph in this dataset: 1966 meV per atom
SG: No. 221
DOS at the Fermi energy: 7.21 states/eV/f.u.

a = 4.842 Å, b = 4.842 Å, c = 4.842 Å
α = 90.00°, β = 90.00°, γ = 90.00°
Site moments in Bohr magnetons follow the coordinates.
Fractional coordinates of all 5 atoms:
Ag (0.000, 0.000, 0.000)  0.07
Ir (0.000, 0.500, 0.000)  1.48
S (0.500, 0.500, 0.500)  0.31
Ir (0.000, 0.000, 0.500)  1.37
Ir (0.500, 0.000, 0.000)  1.10

=====

For each record above, in turn, the calculated energy relative to the elements, uncorrected values are 0.129, 0.036, 1.365, -0.279, 0.073, 2.728 eV/atom.